First-principles (GGA-PBE) data for an optimized crystal structure of HfMgGe3, as listed in Alexandria.

a = 5.165 Å, b = 5.165 Å, c = 5.165 Å
α = 90.00°, β = 90.00°, γ = 90.00°
Positions (direct):
Ge: 0.500 0.000 0.000
Ge: 0.000 0.000 0.500
Ge: 0.000 0.500 0.000
Mg: 0.500 0.500 0.500
Hf: 0.000 0.000 0.000

- Symmetry: Pm-3m
- Density of states at the Fermi level: 1.4 states/eV per cell
- E_form: 0.37 eV/atom
- Excess energy over the best structure of this formula in the dataset: 0.0 kJ/mol of atoms
- V: 138 Å³/cell

***

First-principles (GGA-PBE) data for an optimized crystal structure of Li2Zn8Cu, as listed in Alexandria.

a = 4.023 Å, b = 6.026 Å, c = 7.113 Å
α = 74.66°, β = 73.57°, γ = 90.00°
Positions (direct):
Zn: 0.176 0.892 0.617
Zn: 0.361 0.839 0.247
Zn: 0.638 0.162 0.693
Zn: 0.463 0.275 0.042
Zn: 0.823 0.109 0.323
Zn: 0.536 0.725 0.897
Zn: 0.908 0.558 0.153
Zn: 0.091 0.442 0.787
Li: 0.723 0.639 0.522
Li: 0.276 0.362 0.418
Cu: 0.000 0.000 0.970

- Symmetry: C2/m
- Density of states at the Fermi level: 3.2 states/eV per cell
- E_form: -0.10 eV/atom
- V: 159 Å³/cell

***

What is the E_form in the first record?
0.37 eV/atom